1.
# LiCrPt2 (PBE, optimized geometry)
data_LiCrPt2
_cell_length_a 4.5712
_cell_length_b 4.5712
_cell_length_c 4.8570
_cell_angle_alpha 100.06
_cell_angle_beta 100.06
_cell_angle_gamma 35.98
_symmetry_space_group_name_H-M 'P 1'
_symmetry_Int_Tables_number 1
loop_
_symmetry_equiv_pos_as_xyz
'x,y,z'
loop_
_atom_site_label
_atom_site_type_symbol
_atom_site_fract_x
_atom_site_fract_y
_atom_site_fract_z
Li1 Li 0.0000 0.0000 0.0000
Cr1 Cr 0.5000 0.5000 0.5000
Pt1 Pt 0.2466 0.2466 0.7507
Pt2 Pt 0.7534 0.7534 0.2493
# Space-group type: No. 12
# Formation energy in kJ/mol of formula units: -81
# Total magnetic moment in μB per formula unit: 3.8
# DFT total energy in eV per atom: -6.115
# Crystal system: monoclinic

=====

2.
# MgGe3F (PBE, optimized geometry)
data_MgGe3F
_cell_length_a 4.6226
_cell_length_b 4.6226
_cell_length_c 4.6226
_cell_angle_alpha 90.00
_cell_angle_beta 90.00
_cell_angle_gamma 90.00
_symmetry_space_group_name_H-M 'P 1'
_symmetry_Int_Tables_number 1
loop_
_symmetry_equiv_pos_as_xyz
'x,y,z'
loop_
_atom_site_label
_atom_site_type_symbol
_atom_site_fract_x
_atom_site_fract_y
_atom_site_fract_z
Mg1 Mg 0.0000 0.0000 0.0000
Ge1 Ge 0.0000 0.5000 0.5000
Ge2 Ge 0.5000 0.0000 0.5000
Ge3 Ge 0.5000 0.5000 0.0000
F1 F 0.5000 0.5000 0.5000
# ΔE to the lowest computed polymorph in meV per atom: 0.0
# Space-group type: No. 221
# Raw formation energy in meV/atom: -112
# Total magnetic moment in μB per formula unit: 0.0
# DFT total energy in eV per atom: -3.576
# Crystal system: cubic